No. 1
VASP calculation (PBE-GGA) on crystalline Na6Ag2Sn at its relaxed geometry.

extended XYZ file:
```
18
Lattice="5.790 0.000 2.047 0.000 10.909 0.000 2.545 0.000 9.036" Properties=species:S:1:pos:R:3 pbc="T T T"
Ag 6.477 6.136 4.701
Ag 1.858 4.772 6.382
Ag 4.854 10.227 8.195
Ag 3.481 0.682 2.888
Na 5.532 3.806 2.465
Na 6.429 7.652 7.557
Na 1.906 3.257 3.526
Na 7.661 10.255 9.698
Na 2.803 7.102 8.619
Na 3.909 1.648 5.959
Na 3.493 6.108 4.156
Na 4.426 9.261 5.124
Na 4.842 4.801 6.927
Na 2.261 8.711 2.015
Na 6.073 2.198 9.068
Na 0.674 0.654 1.385
Sn 2.895 5.454 1.024
Sn 1.272 0.000 4.518
```

**Space-group type**: P2_1/c (14)
**Energy above the lowest structure with this stoichiometry**: 0.0 meV/atom
**D(E_F)**: 0.36 states/eV/atom
**Formation energy from the elements**: -0.064 eV/atom

---

No. 2
VASP calculation (PBE-GGA) on crystalline ZnGa2Sn at its relaxed geometry.

extended XYZ file:
```
4
Lattice="-0.237 -0.973 2.983 2.098 -2.274 -0.575 6.124 5.104 2.152" Properties=species:S:1:pos:R:3 pbc="T T T"
Ga 1.335 1.113 0.469
Ga 4.789 3.991 1.683
Zn 0.930 -1.624 1.204
Sn 3.992 0.928 2.280
```

**Space-group type**: P4/mmm (123)
**Energy above the lowest structure with this stoichiometry**: 10.7 meV/atom
**D(E_F)**: 0.36 states/eV/atom
**Formation energy from the elements**: 0.067 eV/atom

---

No. 3
VASP calculation (PBE-GGA) on crystalline RbRuPbSe2 at its relaxed geometry.

extended XYZ file:
```
5
Lattice="-3.957 0.246 3.401 -1.719 -4.638 -1.665 2.944 -2.382 3.598" Properties=species:S:1:pos:R:3 pbc="T T T"
Rb -1.366 -3.387 2.667
Se -1.979 0.123 1.700
Se 1.472 -1.191 1.799
Pb -0.859 -2.319 -0.832
Ru 0.000 0.000 0.000
```

**Formation energy without anion corrections**: -0.10 eV per formula unit
**Space-group type**: P4/mmm (123)
**D(E_F)**: 1.19 states/eV/atom

---

No. 4
VASP calculation (PBE-GGA) on crystalline TcNiHOs2 at its relaxed geometry.

extended XYZ file:
```
5
Lattice="3.887 0.000 0.000 0.000 3.887 0.000 0.000 0.000 3.765" Properties=species:S:1:pos:R:3 pbc="T T T"
Os 1.944 0.000 0.000
Os 0.000 1.944 0.000
Ni 0.000 0.000 1.883
H 0.000 0.000 0.000
Tc 1.944 1.944 1.883
```

**Electronic total energy**: -0.5969 Ry/atom
**Space-group type**: P4/mmm (123)
**D(E_F)**: 0.91 states/eV/atom

---

No. 5
VASP calculation (PBE-GGA) on crystalline PaPt2Au at its relaxed geometry.

extended XYZ file:
```
4
Lattice="-0.984 -2.882 -1.712 3.007 0.029 -1.778 2.687 -3.581 4.485" Properties=species:S:1:pos:R:3 pbc="T T T"
Au 2.355 -3.217 0.497
Pt 0.704 -0.938 1.175
Pt 1.983 -2.643 3.310
Pa 1.011 -1.426 -1.745
```

**Space-group type**: P4/mmm (123)
**Energy above the lowest structure with this stoichiometry**: 133.5 meV/atom
**D(E_F)**: 0.67 states/eV/atom
**Formation energy from the elements**: -0.680 eV/atom

---

No. 6
VASP calculation (PBE-GGA) on crystalline RbSb3P at its relaxed geometry.

extended XYZ file:
```
5
Lattice="5.442 0.000 0.000 0.000 5.442 0.000 0.000 0.000 5.442" Properties=species:S:1:pos:R:3 pbc="T T T"
Rb 2.721 2.721 2.721
Sb 2.721 0.000 0.000
Sb 0.000 0.000 2.721
Sb 0.000 2.721 0.000
P 0.000 0.000 0.000
```

**Formation energy without anion corrections**: 1.37 eV per formula unit
**Space-group type**: Pm-3m (221)
**Energy above the lowest structure with this stoichiometry**: 0.0 meV/atom
**D(E_F)**: 1.13 states/eV/atom

---

No. 7
VASP calculation (PBE-GGA) on crystalline ZrAg3 at its relaxed geometry.

extended XYZ file:
```
4
Lattice="3.002 0.000 0.000 -1.501 2.600 0.000 0.000 0.000 9.825" Properties=species:S:1:pos:R:3 pbc="T T T"
Ag 0.000 0.000 4.848
Ag 0.000 0.000 0.064
Ag 0.000 1.733 2.456
Zr 0.000 1.733 7.369
```

**Space-group type**: P-6m2 (187)
**D(E_F)**: 0.29 states/eV/atom
**Formation energy from the elements**: 0.026 eV/atom

---

No. 8
VASP calculation (PBE-GGA) on crystalline LaTa2Fe2 at its relaxed geometry.

extended XYZ file:
```
10
Lattice="7.670 0.000 0.000 0.000 7.670 0.000 0.000 0.000 3.013" Properties=species:S:1:pos:R:3 pbc="T T T"
Ta 1.089 4.925 1.506
Ta 2.746 1.089 1.506
Ta 4.925 6.581 1.506
Ta 6.581 2.746 1.506
La 0.000 0.000 0.000
La 3.835 3.835 0.000
Fe 1.001 2.834 0.000
Fe 4.836 1.001 0.000
Fe 2.834 6.669 0.000
Fe 6.669 4.836 0.000
```

**Space-group type**: P4/mbm (127)
**Energy above the lowest structure with this stoichiometry**: 292.0 meV/atom
**D(E_F)**: 2.04 states/eV/atom
**Formation energy from the elements**: 0.287 eV/atom

---

No. 9
VASP calculation (PBE-GGA) on crystalline SiSbOs2 at its relaxed geometry.

extended XYZ file:
```
4
Lattice="-1.202 3.890 2.041 -3.646 1.911 1.950 0.558 -0.920 5.031" Properties=species:S:1:pos:R:3 pbc="T T T"
Os -4.673 5.561 4.527
Os -3.225 3.672 6.733
Sb -2.153 2.441 4.713
Si -1.232 1.449 1.551
```

**Formation energy without anion corrections**: 0.67 eV per formula unit
**Space-group type**: Cm (8)
**Energy above the lowest structure with this stoichiometry**: 0.0 meV/atom
**D(E_F)**: 0.62 states/eV/atom

---

No. 10
VASP calculation (PBE-GGA) on crystalline BeV2Sb at its relaxed geometry.

extended XYZ file:
```
8
Lattice="3.621 0.000 0.000 0.000 3.621 0.000 1.811 1.811 9.433" Properties=species:S:1:pos:R:3 pbc="T T T"
Be 1.811 3.621 4.716
Be 1.811 1.811 0.000
V 4.527 4.487 7.075
V 2.676 0.905 2.358
V 0.945 2.716 2.358
V 2.716 2.756 7.075
Sb 3.621 1.811 4.716
Sb 0.000 0.000 0.000
```

**Formation energy without anion corrections**: 1.92 eV per formula unit
**Space-group type**: I-42d (122)
**Energy above the lowest structure with this stoichiometry**: 264.3 meV/atom
**D(E_F)**: 1.03 states/eV/atom

---

No. 11
VASP calculation (PBE-GGA) on crystalline Nb12Ga3Pd at its relaxed geometry.

extended XYZ file:
```
16
Lattice="-1.410 -0.447 4.994 -3.744 -3.331 -1.355 6.630 -7.926 1.163" Properties=species:S:1:pos:R:3 pbc="T T T"
Nb 0.383 -5.964 3.660
Nb 0.720 -2.809 -0.048
Nb -1.155 -4.477 -0.726
Nb 3.417 -5.151 3.220
Nb -2.227 -1.778 0.580
Nb 2.167 -8.448 -0.144
Nb 4.041 -6.780 0.534
Nb -2.927 -2.000 3.059
Nb 0.144 -1.239 2.646
Nb 1.094 -5.739 1.142
Nb 1.803 -3.222 2.937
Nb 5.076 -7.134 3.511
Ga 2.411 -7.852 2.694
Ga 0.000 0.000 0.000
Ga -0.935 -3.852 2.108
Pd 3.315 -3.963 0.581
```

**Space-group type**: Pmmm (47)
**D(E_F)**: 1.33 states/eV/atom
**Formation energy from the elements**: -0.196 eV/atom

---

No. 12
VASP calculation (PBE-GGA) on crystalline Na4Cl3F at its relaxed geometry.

extended XYZ file:
```
16
Lattice="5.644 0.000 0.000 0.000 7.838 0.000 0.000 0.000 9.004" Properties=species:S:1:pos:R:3 pbc="T T T"
Na 3.191 5.359 2.481
Na 0.368 2.479 6.983
Na 3.512 1.439 0.000
Na 3.180 0.902 4.502
Na 0.358 6.935 0.000
Na 0.690 6.399 4.502
Na 0.368 2.479 2.021
Na 3.191 5.359 6.523
F 0.146 1.387 0.000
F 2.968 6.451 4.502
Cl 3.149 2.596 2.328
Cl 0.327 5.242 6.830
Cl 0.323 1.169 4.502
Cl 3.145 6.669 0.000
Cl 0.327 5.242 2.174
Cl 3.149 2.596 6.676
```

**Formation energy without anion corrections**: -15.79 eV per formula unit
**Space-group type**: Pmn2_1 (31)
**Energy above the lowest structure with this stoichiometry**: 0.0 meV/atom
**D(E_F)**: 0.00 states/eV/atom

---

- Among the records above, which one has the highest D(E_F)?
  LaTa2Fe2

---

- What is the D(E_F) in the twelfth record?
  0.00 states/eV/atom

---

- What is the D(E_F) in the eighth record?
  2.04 states/eV/atom